AlHgP2 | GGA-PBE | optimized geometry

The calculation puts the electronic total energy at -14.6 eV per cell. The spin magnetization is 0.00 μB/f.u. The excess energy over the best structure of this formula in the dataset is 108 meV per atom. The value obtained for the energy of formation is 78 meV per atom.

Lattice parameters (Å, degrees): 4.090 4.090 7.716 62.25 62.25 46.81
Element x y z (fractional)
1 P 0.055 0.055 0.971
2 P 0.726 0.726 0.741
3 Hg 0.179 0.179 0.229
4 Al 0.540 0.540 0.559